The following is a DFT calculation (meta-GGA SCAN) of a PBEsol-optimized structure of SrAuBr2.

Energy relative to the elements, uncorrected (eV per atom): -0.976
M_tot (μB per formula unit): 0.00
Space group: No. 166
Raw total energy (eV/cell): -134.3
DOS at the Fermi energy (states/eV/atom): 0.50
Distance to the lowest polymorph of the same formula (meV/atom): 210

a = 4.3018 Å, b = 4.3018 Å, c = 9.2184 Å
α = 76.51°, β = 76.51°, γ = 60.00°
Last column: nearest neighbours and their distance in Å.
Sites, in units of the cell vectors:
Sr: 0.5000 0.5000 0.5000  6 Br 3.02
Au: 0.0000 0.0000 0.0000  2 Br 2.73
Br: 0.1024 0.1024 0.6929  1 Au 2.73, 3 Sr 3.02
Br: 0.8976 0.8976 0.3071  1 Au 2.73, 3 Sr 3.02



The following is a DFT calculation (meta-GGA SCAN) of a PBEsol-optimized structure of ThH2.

M_tot (μB per formula unit): 0.00
Space group: No. 139
Raw total energy (eV/cell): -104.3
DOS at the Fermi energy (states/eV/atom): 0.25

a = 3.7104 Å, b = 3.7104 Å, c = 3.7104 Å
α = 78.48°, β = 66.41°, γ = 113.59°
Last column: nearest neighbours and their distance in Å.
Sites, in units of the cell vectors:
Th: 0.0000 0.0000 0.0000  8 H 2.35
H: 0.5000 0.2500 0.2500  4 Th 2.35, 2 H 2.35
H: 0.5000 0.7500 0.7500  4 Th 2.35, 2 H 2.35



The following is a DFT calculation (meta-GGA SCAN) of a PBEsol-optimized structure of TlHgPb2.

M_tot (μB per formula unit): 0.00
Space group: No. 166
Raw total energy (eV/cell): -292.0
Formation enthalpy at 0 K (eV/atom): 0.020
DOS at the Fermi energy (states/eV/atom): 0.41

a = 3.4348 Å, b = 3.4348 Å, c = 10.9831 Å
α = 81.00°, β = 81.00°, γ = 60.00°
Last column: nearest neighbours and their distance in Å.
Sites, in units of the cell vectors:
Pb: 0.2540 0.2540 0.2380  3 Hg 3.25, 6 Pb 3.43, 3 Tl 3.46
Hg: 0.0000 0.0000 0.0000  6 Pb 3.25, 6 Hg 3.43
Tl: 0.5000 0.5000 0.5000  6 Tl 3.43, 6 Pb 3.46
Pb: 0.7460 0.7460 0.7620  3 Hg 3.25, 6 Pb 3.43, 3 Tl 3.46



The following is a DFT calculation (meta-GGA SCAN) of a PBEsol-optimized structure of ScFe2Os.

M_tot (μB per formula unit): 4.41
Space group: No. 12
Raw total energy (eV/cell): -122.3
Formation enthalpy at 0 K (eV/atom): 0.016
DOS at the Fermi energy (states/eV/atom): 0.64

a = 2.6438 Å, b = 4.8447 Å, c = 4.8447 Å
α = 115.29°, β = 98.69°, γ = 98.69°
Last column: nearest neighbours and their distance in Å.
Sites, in units of the cell vectors:
Sc: 0.5000 0.5000 0.5000  4 Fe 2.58, 2 Os 2.59, 2 Sc 2.64
Os: 0.5000 0.0000 0.0000  4 Fe 2.58, 2 Sc 2.59, 2 Os 2.64
Fe: 0.0000 0.0000 0.5000  2 Os 2.58, 2 Sc 2.58, 4 Fe 2.59-2.64
Fe: 0.0000 0.5000 0.0000  2 Sc 2.58, 2 Os 2.58, 4 Fe 2.59-2.64



The following is a DFT calculation (meta-GGA SCAN) of a PBEsol-optimized structure of Ta2ZnMo.

M_tot (μB per formula unit): 0.00
Space group: No. 123
Raw total energy (eV/cell): -182.0
Formation enthalpy at 0 K (eV/atom): -0.115
DOS at the Fermi energy (states/eV/atom): 0.28

a = 3.2543 Å, b = 3.2543 Å, c = 6.0494 Å
α = 90.00°, β = 90.00°, γ = 90.00°
Last column: nearest neighbours and their distance in Å.
Sites, in units of the cell vectors:
Ta: 0.0000 0.0000 0.2530  4 Mo 2.74, 4 Zn 2.76, 2 Ta 2.99-3.06
Zn: 0.5000 0.5000 0.0000  8 Ta 2.76, 2 Mo 3.02
Ta: 0.0000 0.0000 0.7470  4 Mo 2.74, 4 Zn 2.76, 2 Ta 2.99-3.06
Mo: 0.5000 0.5000 0.5000  8 Ta 2.74, 2 Zn 3.02



The following is a DFT calculation (meta-GGA SCAN) of a PBEsol-optimized structure of Y2AsP.

M_tot (μB per formula unit): 0.00
Space group: No. 166
Raw total energy (eV/cell): -93.5
Formation enthalpy at 0 K (eV/atom): -1.814
DOS at the Fermi energy (states/eV/atom): 0.08

a = 4.0111 Å, b = 4.0111 Å, c = 6.9565 Å
α = 73.24°, β = 73.24°, γ = 60.00°
Last column: nearest neighbours and their distance in Å.
Sites, in units of the cell vectors:
P: 0.0000 0.0000 0.0000  6 Y 2.81
Y: 0.7477 0.7477 0.7568  3 P 2.81, 3 As 2.86
As: 0.5000 0.5000 0.5000  6 Y 2.86
Y: 0.2523 0.2523 0.2432  3 P 2.81, 3 As 2.86



The following is a DFT calculation (meta-GGA SCAN) of a PBEsol-optimized structure of Li6Ti2O7.

Energy relative to the elements, uncorrected (eV per atom): -2.721
M_tot (μB per formula unit): 0.00
Space group: No. 12
Raw total energy (eV/cell): -130.8
DOS at the Fermi energy (states/eV/atom): 0.00
Distance to the lowest polymorph of the same formula (meV/atom): 5

a = 5.0544 Å, b = 5.6905 Å, c = 5.6905 Å
α = 118.98°, β = 107.70°, γ = 72.30°
Last column: nearest neighbours and their distance in Å.
Sites, in units of the cell vectors:
O: 0.5000 0.7806 0.7806  2 Ti 2.00, 4 Li 2.03-2.04
Li: 0.6879 0.3804 0.6390  3 O 1.92-2.03
O: 0.5496 0.7547 0.2646  1 Ti 1.85, 5 Li 1.92-1.97
O: 0.0000 0.5097 0.0097  2 Ti 1.96, 4 Li 2.07-2.16
Li: 0.3121 0.6390 0.3804  3 O 1.92-2.03
Li: 0.7281 0.3683 0.0991  5 O 1.96-2.07
O: 0.0000 0.0097 0.0097  4 Li 2.01, 2 Ti 2.08
O: 0.5000 0.2388 0.2388  2 Ti 2.00, 4 Li 2.03-2.04
Li: 0.2719 0.0991 0.3683  5 O 1.96-2.07
O: 0.0000 0.0097 0.5097  2 Ti 1.96, 4 Li 2.07-2.16
O: 0.4504 0.2646 0.7547  1 Ti 1.85, 5 Li 1.92-1.97
Li: 0.2718 0.6512 0.9203  5 O 1.96-2.07
Li: 0.7282 0.9203 0.6512  5 O 1.96-2.07
Ti: 0.7611 0.8749 0.1445  5 O 1.85-2.00
Ti: 0.2389 0.1445 0.8749  5 O 1.85-2.00



The following is a DFT calculation (meta-GGA SCAN) of a PBEsol-optimized structure of AgSnTe2.

Energy relative to the elements, uncorrected (eV per atom): 0.183
M_tot (μB per formula unit): 0.00
Space group: No. 166
Raw total energy (eV/cell): -141.1
DOS at the Fermi energy (states/eV/atom): 0.67

a = 3.3208 Å, b = 3.3208 Å, c = 11.1123 Å
α = 81.41°, β = 81.41°, γ = 60.00°
Last column: nearest neighbours and their distance in Å.
Sites, in units of the cell vectors:
Te: 0.9029 0.9029 0.2912  3 Ag 2.98, 1 Sn 3.19, 6 Te 3.32
Te: 0.0971 0.0971 0.7088  3 Ag 2.98, 1 Sn 3.19, 6 Te 3.32
Sn: 0.0000 0.0000 0.0000  2 Te 3.19, 6 Sn 3.32
Ag: 0.5000 0.5000 0.5000  6 Te 2.98, 6 Ag 3.32



The following is a DFT calculation (meta-GGA SCAN) of a PBEsol-optimized structure of AlRe2Te.

Energy relative to the elements, uncorrected (eV per atom): 0.379
M_tot (μB per formula unit): 0.00
Space group: No. 123
Raw total energy (eV/cell): -185.7
DOS at the Fermi energy (states/eV/atom): 0.50

a = 3.1719 Å, b = 4.4276 Å, c = 4.4276 Å
α = 90.00°, β = 90.00°, γ = 90.00°
Last column: nearest neighbours and their distance in Å.
Sites, in units of the cell vectors:
Al: 0.5000 0.0000 0.0000  8 Re 2.72
Re: 0.0000 0.5000 0.0000  4 Al 2.72, 4 Te 2.72
Re: 0.0000 0.0000 0.5000  4 Te 2.72, 4 Al 2.72
Te: 0.5000 0.5000 0.5000  8 Re 2.72



The following is a DFT calculation (meta-GGA SCAN) of a PBEsol-optimized structure of LaTlNF2.

Energy relative to the elements, uncorrected (eV per atom): -1.998
M_tot (μB per formula unit): 0.18
Space group: No. 123
Raw total energy (eV/cell): -141.8
DOS at the Fermi energy (states/eV/atom): 0.35

a = 4.4834 Å, b = 4.6979 Å, c = 4.6979 Å
α = 90.00°, β = 90.00°, γ = 90.00°
Last column: nearest neighbours and their distance in Å.
Sites, in units of the cell vectors:
N: 0.5000 0.0000 0.0000  2 La 2.24
F: 0.0000 0.0000 0.5000  2 La 2.35
Tl: 0.5000 0.5000 0.5000  8 F 3.25, 4 N 3.32
La: 0.0000 0.0000 0.0000  2 N 2.24, 4 F 2.35
F: 0.0000 0.5000 0.0000  2 La 2.35



The following is a DFT calculation (meta-GGA SCAN) of a PBEsol-optimized structure of Y5Sn3.

M_tot (μB per formula unit): 0.00
Space group: No. 193
Raw total energy (eV/cell): -508.3
Formation enthalpy at 0 K (eV/atom): -0.896
DOS at the Fermi energy (states/eV/atom): 0.50

a = 6.4695 Å, b = 8.8518 Å, c = 8.8518 Å
α = 120.00°, β = 90.00°, γ = 90.00°
Last column: nearest neighbours and their distance in Å.
Sites, in units of the cell vectors:
Y: 0.2500 0.2388 0.2388  3 Sn 3.05-3.24
Y: 0.5000 0.6667 0.3333  6 Sn 3.16, 2 Y 3.23
Y: 0.0000 0.6667 0.3333  6 Sn 3.16, 2 Y 3.23
Y: 0.7500 0.0000 0.2388  3 Sn 3.05-3.24
Sn: 0.7500 0.6044 0.0000  7 Y 3.05-3.24
Sn: 0.7500 0.3956 0.3956  7 Y 3.05-3.24
Sn: 0.2500 0.6044 0.6044  7 Y 3.05-3.24
Sn: 0.2500 0.0000 0.3956  7 Y 3.05-3.24
Y: 0.2500 0.0000 0.7612  3 Sn 3.05-3.24
Sn: 0.2500 0.3956 0.0000  7 Y 3.05-3.24
Y: 0.2500 0.7612 0.0000  3 Sn 3.05-3.24
Y: 0.7500 0.2388 0.0000  3 Sn 3.05-3.24
Y: 0.7500 0.7612 0.7612  3 Sn 3.05-3.24
Sn: 0.7500 0.0000 0.6044  7 Y 3.05-3.24
Y: 0.0000 0.3333 0.6667  6 Sn 3.16, 2 Y 3.23
Y: 0.5000 0.3333 0.6667  6 Sn 3.16, 2 Y 3.23



The following is a DFT calculation (meta-GGA SCAN) of a PBEsol-optimized structure of BaScTe2.

Energy relative to the elements, uncorrected (eV per atom): -1.534
M_tot (μB per formula unit): 0.00
Space group: No. 166
Raw total energy (eV/cell): -134.4
DOS at the Fermi energy (states/eV/atom): 0.51

a = 4.3787 Å, b = 4.3787 Å, c = 8.0210 Å
α = 74.16°, β = 74.16°, γ = 60.00°
Last column: nearest neighbours and their distance in Å.
Sites, in units of the cell vectors:
Te: 0.7344 0.7344 0.7968  3 Sc 2.96
Ba: 0.5000 0.5000 0.5000  6 Te 3.39
Te: 0.2656 0.2656 0.2032  3 Sc 2.96
Sc: 0.0000 0.0000 0.0000  6 Te 2.96



The following is a DFT calculation (meta-GGA SCAN) of a PBEsol-optimized structure of K2BeSb.

Energy relative to the elements, uncorrected (eV per atom): -0.096
M_tot (μB per formula unit): 0.91
Space group: No. 38
Raw total energy (eV/cell): -58.7
DOS at the Fermi energy (states/eV/atom): 0.27
Distance to the lowest polymorph of the same formula (meV/atom): 0

a = 4.2574 Å, b = 5.3527 Å, c = 6.6159 Å
α = 113.86°, β = 90.00°, γ = 90.00°
Last column: nearest neighbours and their distance in Å.
Sites, in units of the cell vectors:
Sb: 0.0000 0.6699 0.3398  2 Be 2.37
K: 0.5000 0.2695 0.5391  3 Be 3.50-3.80, 4 Sb 3.63
Be: 0.5000 0.5835 0.1670  2 Sb 2.37
K: 0.0000 0.9732 0.9465  3 Sb 3.58-3.67, 4 Be 3.67